Here is Er3CrO6 after structural relaxation from Alexandria via LeMat-Bulk. Energies are from PBE with a Hubbard U. Values from VASP.

Cell and atoms, written as Quantum ESPRESSO input:
```
&SYSTEM
  ibrav = 0, nat = 20, ntyp = 3
/
ATOMIC_SPECIES
O 16.00 O.upf
Er 167.26 Er.upf
Cr 52.00 Cr.upf
ATOMIC_POSITIONS angstrom
O -2.386 -2.413 2.823
O -5.553 -2.216 1.512
O -2.062 2.838 5.072
O -4.698 -1.789 4.569
O -0.803 -0.653 4.291
O -2.356 -2.696 5.773
O -3.115 -0.029 6.037
O -6.016 1.331 4.010
O -3.145 0.254 3.087
O 0.516 -3.773 4.850
O -3.439 -5.279 3.788
O 0.052 -0.226 7.348
Er -4.250 -3.851 5.403
Er -5.368 -0.008 5.768
Er -1.984 -1.291 7.516
Er -1.251 1.409 3.457
Er -0.132 -2.434 3.092
Er -3.517 -1.151 1.344
Cr -2.750 -1.221 4.430
Cr 0.000 0.000 0.000
CELL_PARAMETERS angstrom
-2.671 4.426 3.877
-5.351 -3.623 -0.005
2.522 -3.245 4.987
```

Properties
Uncorrected energy (eV per atom): -8.327
D(E_F) (states/eV/atom): 0.000